# Ac2BeVO6

A geometry-optimized Ac2BeVO6 structure (PBE with a Hubbard U, the Alexandria database).

Output
Crystal system   trigonal
Final energy   -7.68 eV/atom

Cell and atoms, written as CIF:
```
data_Ac2BeVO6
_chemical_formula_sum 'Ac12 Be6 V6 O36'
_cell_length_a 5.5302
_cell_length_b 5.5302
_cell_length_c 26.9463
_cell_angle_alpha 90.00
_cell_angle_beta 90.00
_cell_angle_gamma 120.00
_space_group_name_H-M_alt 'R -3 m'
_space_group_IT_number 166
_space_group_name_Hall '-R 3 2"'
loop_
_atom_site_label
_atom_site_fract_x
_atom_site_fract_y
_atom_site_fract_z
_atom_site_occupancy
Ac1 0.0000 0.0000 0.1288 1
Ac2 0.0000 0.0000 0.2889 1
Be1 0.0000 0.0000 0.0000 1
Be2 0.0000 0.0000 0.5000 1
V1 0.0000 0.0000 0.4117 1
O1 0.0079 0.5040 0.7072 1
O2 0.0150 0.5075 0.1248 1
```